No. 1
A relaxed TbGa4Pt2Rh crystal, computed with PBE.

Its uncorrected energy is -5.240 eV per atom. The value obtained for the mass density is 11.261 g cm⁻³.

The structure belongs to space group R-3m (No. 166, hexagonal axes); the cell edges are 4.2822, 4.2822 and 25.9315 Å and the angles 90.00°, 90.00° and 120.00°. The distinct sites, in fractional coordinates, are Tb at (0.0000, 0.0000, 0.0000), Ga at (0.0000, 0.0000, 0.1323), Ga at (0.0000, 0.0000, 0.3974), Pt at (0.0000, 0.0000, 0.2384) and Rh at (0.0000, 0.0000, 0.5000).

=====

No. 2
A relaxed TbGa4PtRh2 crystal, computed with PBE.

Its uncorrected energy is -5.345 eV per atom. The value obtained for the mass density is 10.237 g cm⁻³.

The structure belongs to space group R-3m (No. 166, hexagonal axes); the cell edges are 4.2652, 4.2652 and 25.9059 Å and the angles 90.00°, 90.00° and 120.00°. The distinct sites, in fractional coordinates, are Tb at (0.0000, 0.0000, 0.0000), Ga at (0.0000, 0.0000, 0.1284), Ga at (0.0000, 0.0000, 0.3973), Pt at (0.0000, 0.0000, 0.5000) and Rh at (0.0000, 0.0000, 0.2337).

=====

No. 3
A relaxed Tb2Ga4PtRh3 crystal, computed with PBE.

Its uncorrected energy is -5.786 eV per atom. The value obtained for the mass density is 9.994 g cm⁻³.

The structure belongs to space group P-4m2 (No. 115); the cell edges are 4.218, 4.218 and 10.278 Å and the angles 90.00°, 90.00° and 90.00°. The distinct sites, in fractional coordinates, are Tb at (0.000, 0.500, 0.243), Ga at (0.000, 0.000, 0.500), Ga at (0.000, 0.500, 0.868), Ga at (0.500, 0.500, 0.500), Pt at (0.500, 0.500, 0.000), Rh at (0.000, 0.000, 0.000) and Rh at (0.000, 0.500, 0.631).

=====

No. 4
A relaxed Tb2Ga4Pt3Rh crystal, computed with PBE.

Its uncorrected energy is -5.624 eV per atom. The value obtained for the mass density is 11.457 g cm⁻³.

The structure belongs to space group P-4m2 (No. 115); the cell edges are 4.167, 4.167 and 10.726 Å and the angles 90.00°, 90.00° and 90.00°. The distinct sites, in fractional coordinates, are Tb at (0.000, 0.500, 0.246), Ga at (0.000, 0.000, 0.500), Ga at (0.000, 0.500, 0.870), Ga at (0.500, 0.500, 0.500), Pt at (0.000, 0.000, 0.000), Pt at (0.000, 0.500, 0.639) and Rh at (0.500, 0.500, 0.000).

=====

No. 5
A relaxed GaTcPt2Rh crystal, computed with PBE.

Its uncorrected energy is -5.675 eV per atom. The value obtained for the mass density is 11.461 g cm⁻³.

The structure belongs to space group P4/mmm (No. 123); the cell edges are 4.600, 4.600 and 4.524 Å and the angles 90.00°, 90.00° and 90.00°. The distinct sites, in fractional coordinates, are Ga at (0.000, 0.000, 0.000), Tc at (0.500, 0.500, 0.500), Pt at (0.000, 0.500, 0.000) and Rh at (0.000, 0.000, 0.500).

=====

No. 6
A relaxed Th2Ga4Pt3Rh crystal, computed with PBE.

Its uncorrected energy is -6.196 eV per atom. The value obtained for the mass density is 12.404 g cm⁻³.

The structure belongs to space group P-4m2 (No. 115); the cell edges are 4.263, 4.263 and 10.541 Å and the angles 90.00°, 90.00° and 90.00°. The distinct sites, in fractional coordinates, are Th at (0.000, 0.500, 0.247), Ga at (0.000, 0.000, 0.000), Ga at (0.000, 0.500, 0.627), Ga at (0.500, 0.500, 0.000), Pt at (0.000, 0.500, 0.862), Pt at (0.500, 0.500, 0.500) and Rh at (0.000, 0.000, 0.500).

=====

No. 7
A relaxed ThGa3PtRh crystal, computed with PBE.

Its uncorrected energy is -5.445 eV per atom. The value obtained for the mass density is 9.589 g cm⁻³.

The structure belongs to space group Cmcm (No. 63); the cell edges are 6.005, 10.640 and 8.014 Å and the angles 90.00°, 90.00° and 90.00°. The distinct sites, in fractional coordinates, are Th at (0.000, 0.247, 0.250), Ga at (0.000, 0.241, 0.750), Ga at (0.248, 0.000, 0.000), Pt at (0.000, 0.475, 0.750) and Rh at (0.000, 0.011, 0.750).

=====

No. 8
A relaxed ThGa2PtRh2 crystal, computed with PBE.

Its uncorrected energy is -6.041 eV per atom. The value obtained for the mass density is 10.573 g cm⁻³.

The structure belongs to space group P4/mmm (No. 123); the cell edges are 4.653, 4.653 and 5.602 Å and the angles 90.00°, 90.00° and 90.00°. The distinct sites, in fractional coordinates, are Th at (0.000, 0.000, 0.000), Ga at (0.000, 0.500, 0.500), Pt at (0.000, 0.000, 0.500) and Rh at (0.500, 0.500, 0.239).

=====

No. 9
A relaxed TiGaPtRh crystal, computed with PBE.

The calculation puts the offset from the most stable computed form at 0.000 eV/atom. Its uncorrected energy is -6.951 eV per atom. The value obtained for the mass density is 11.650 g cm⁻³.

The structure belongs to space group I-4m2 (No. 119); the cell edges are 4.013, 4.013 and 7.358 Å and the angles 90.00°, 90.00° and 90.00°. The distinct sites, in fractional coordinates, are Ti at (0.000, 0.000, 0.000), Ga at (0.000, 0.000, 0.500), Pt at (0.000, 0.500, 0.250) and Rh at (0.000, 0.500, 0.750).

=====

No. 10
A relaxed TiGaPtRh crystal, computed with PBE.

The calculation puts the offset from the most stable computed form at 0.097 eV/atom. Its uncorrected energy is -6.853 eV per atom. The value obtained for the mass density is 11.487 g cm⁻³.

The structure belongs to space group F-43m (No. 216); the cell edges are 6.217, 6.217 and 6.217 Å and the angles 90.00°, 90.00° and 90.00°. The distinct sites, in fractional coordinates, are Ti at (0.000, 0.000, 0.000), Ga at (0.000, 0.000, 0.500), Pt at (0.250, 0.250, 0.250) and Rh at (0.250, 0.250, 0.750).

=====

No. 11
A relaxed TmGaPtRh crystal, computed with PBE.

Its uncorrected energy is -6.106 eV per atom. The value obtained for the mass density is 13.009 g cm⁻³.

The structure belongs to space group F-43m (No. 216); the cell edges are 6.495, 6.495 and 6.495 Å and the angles 90.00°, 90.00° and 90.00°. The distinct sites, in fractional coordinates, are Tm at (0.000, 0.000, 0.000), Ga at (0.000, 0.000, 0.500), Pt at (0.250, 0.250, 0.250) and Rh at (0.250, 0.250, 0.750).

=====

No. 12
A relaxed Y2Ga3Pt4Rh crystal, computed with PBE.

Its uncorrected energy is -6.237 eV per atom. The value obtained for the mass density is 11.366 g cm⁻³.

The structure belongs to space group P-4m2 (No. 115); the cell edges are 4.018, 4.018 and 11.492 Å and the angles 90.00°, 90.00° and 90.00°. The distinct sites, in fractional coordinates, are Y at (0.000, 0.500, 0.244), Ga at (0.000, 0.000, 0.000), Ga at (0.000, 0.500, 0.633), Pt at (0.000, 0.000, 0.500), Pt at (0.000, 0.500, 0.846), Pt at (0.500, 0.500, 0.500) and Rh at (0.500, 0.500, 0.000).

=====

Number 1: DFT formation energy -0.7189 eV/atom. Number 2: DFT formation energy -0.6600 eV/atom. Number 3: DFT formation energy -0.8392 eV/atom. Number 4: DFT formation energy -0.9400 eV/atom. Number 5: DFT formation energy 0.8906 eV/atom. Number 6: DFT formation energy -0.9536 eV/atom. Number 7: DFT formation energy -0.4632 eV/atom. Number 8: DFT formation energy -0.3386 eV/atom. Number 9: DFT formation energy -0.8724 eV/atom. Number 10: DFT formation energy -0.7750 eV/atom. Number 11: DFT formation energy -0.8834 eV/atom. Number 12: DFT formation energy -0.8847 eV/atom.